# LiMgW3

A relaxed LiMgW3 crystal (PBE-GGA, the Alexandria database).

Computed properties:
crystal system	cubic
energy of formation	7.5	eV per formula unit
final energy	-6.983	eV/atom
DOS at the Fermi energy	1.669	states/eV/atom
offset from the most stable computed form	0.000	eV per atom

abc: 4.309 4.309 4.309
angles: 90.00 90.00 90.00
Sites, in units of the cell vectors:
Li: 0.000 0.000 0.000
Mg: 0.500 0.500 0.500
W: 0.000 0.000 0.500
W: 0.500 0.000 0.000
W: 0.000 0.500 0.000